Record 1
A plane-wave DFT calculation with PBEsol was carried out for crystalline CuTc2Au at its relaxed geometry.

Computed properties:
D(E_F) = 3.1 states/eV/cell
ΔE_f = 0.28 eV/atom

Unit cell a=2.7333 b=4.0668 c=5.0975 alpha=90.00 beta=90.00 gamma=90.00
With the nearest neighbours (Å) after each atom.
Atoms (fractional coordinates):
Cu: 0.0000 0.0000 0.0000  2 Au 2.55, 8 Tc 2.70, 2 Cu 2.73
Tc: 0.5000 0.5000 0.2220  1 Tc 2.26
Tc: 0.5000 0.5000 0.7780  1 Tc 2.26
Au: 0.0000 0.0000 0.5000  2 Cu 2.55, 2 Au 2.73, 8 Tc 2.83

Record 2
A plane-wave DFT calculation with PBEsol was carried out for crystalline Cu2TeAu at its relaxed geometry.

Computed properties:
D(E_F) = 1.0 states/eV/cell
formation energy (no corrections) = 0.139 eV/atom

Unit cell a=4.1686 b=4.1686 c=3.7301 alpha=90.00 beta=90.00 gamma=90.00
With the nearest neighbours (Å) after each atom.
Atoms (fractional coordinates):
Cu: 0.0000 0.5000 0.0000  4 Au 2.80, 4 Te 2.80, 4 Cu 2.95
Cu: 0.5000 0.0000 0.0000  4 Au 2.80, 4 Te 2.80, 4 Cu 2.95
Te: 0.0000 0.0000 0.5000  8 Cu 2.80, 4 Au 2.95
Au: 0.5000 0.5000 0.5000  8 Cu 2.80, 4 Te 2.95